Model one:
VASP calculation (PBE) on a geometry-optimized NaP2SBr structure.

Cell and atoms, written as CIF:
```
data_NaP2SBr
_symmetry_space_group_name_H-M 'P 4/m m m'
_symmetry_Int_Tables_number 123
_symmetry_space_group_name_Hall '-P 4 2'
_cell_length_a 4.963
_cell_length_b 4.963
_cell_length_c 5.156
_cell_angle_alpha 90.00
_cell_angle_beta 90.00
_cell_angle_gamma 90.00
loop_
_atom_site_label
_atom_site_type_symbol
_atom_site_fract_x
_atom_site_fract_y
_atom_site_fract_z
Na1 Na 0.000 0.000 0.000
P1 P 0.000 0.500 0.500
S1 S 0.500 0.500 0.000
Br1 Br 0.500 0.500 0.500
```

Computed properties:
The value obtained for the density of states at the Fermi level is 0.82 states/eV/atom.

***

Model two:
VASP calculation (PBE) on a geometry-optimized NaP2SBr structure.

Cell and atoms, written as CIF:
```
data_NaP2SBr
_symmetry_space_group_name_H-M 'P 4/m m m'
_symmetry_Int_Tables_number 123
_symmetry_space_group_name_Hall '-P 4 2'
_cell_length_a 5.161
_cell_length_b 5.161
_cell_length_c 4.750
_cell_angle_alpha 90.00
_cell_angle_beta 90.00
_cell_angle_gamma 90.00
loop_
_atom_site_label
_atom_site_type_symbol
_atom_site_fract_x
_atom_site_fract_y
_atom_site_fract_z
Na1 Na 0.000 0.000 0.000
P1 P 0.000 0.500 0.000
S1 S 0.000 0.000 0.500
Br1 Br 0.500 0.500 0.500
```

Computed properties:
The value obtained for the density of states at the Fermi level is 1.44 states/eV/atom.

***

It turns out model one is the most stable, with the second structure 40.5 kJ/mol of atoms higher.

***

Model one:
VASP calculation (PBE) on a geometry-optimized NaPS2Br structure.

Cell and atoms, written as CIF:
```
data_NaPS2Br
_symmetry_space_group_name_H-M 'P 4/m m m'
_symmetry_Int_Tables_number 123
_symmetry_space_group_name_Hall '-P 4 2'
_cell_length_a 5.039
_cell_length_b 5.039
_cell_length_c 4.992
_cell_angle_alpha 90.00
_cell_angle_beta 90.00
_cell_angle_gamma 90.00
loop_
_atom_site_label
_atom_site_type_symbol
_atom_site_fract_x
_atom_site_fract_y
_atom_site_fract_z
Na1 Na 0.000 0.000 0.000
P1 P 0.500 0.500 0.000
S1 S 0.000 0.500 0.500
Br1 Br 0.500 0.500 0.500
```

Computed properties:
The value obtained for the density of states at the Fermi level is 0.76 states/eV/atom.

***

Model two:
VASP calculation (PBE) on a geometry-optimized NaPS2Br structure.

Cell and atoms, written as CIF:
```
data_NaPS2Br
_symmetry_space_group_name_H-M 'P 4/m m m'
_symmetry_Int_Tables_number 123
_symmetry_space_group_name_Hall '-P 4 2'
_cell_length_a 5.021
_cell_length_b 5.021
_cell_length_c 5.869
_cell_angle_alpha 90.00
_cell_angle_beta 90.00
_cell_angle_gamma 90.00
loop_
_atom_site_label
_atom_site_type_symbol
_atom_site_fract_x
_atom_site_fract_y
_atom_site_fract_z
Na1 Na 0.000 0.000 0.000
P1 P 0.000 0.000 0.500
S1 S 0.000 0.500 0.000
Br1 Br 0.500 0.500 0.500
```

Computed properties:
The value obtained for the density of states at the Fermi level is 0.76 states/eV/atom.

***

It turns out model one is the most stable, with the second structure 42.8 kJ/mol of atoms higher.

***

Model one:
VASP calculation (PBE) on a geometry-optimized NaPSeBr2 structure.

Cell and atoms, written as CIF:
```
data_NaPSeBr2
_symmetry_space_group_name_H-M 'P 4/m m m'
_symmetry_Int_Tables_number 123
_symmetry_space_group_name_Hall '-P 4 2'
_cell_length_a 5.140
_cell_length_b 5.140
_cell_length_c 5.431
_cell_angle_alpha 90.00
_cell_angle_beta 90.00
_cell_angle_gamma 90.00
loop_
_atom_site_label
_atom_site_type_symbol
_atom_site_fract_x
_atom_site_fract_y
_atom_site_fract_z
Na1 Na 0.000 0.000 0.000
P1 P 0.500 0.500 0.500
Se1 Se 0.000 0.000 0.500
Br1 Br 0.000 0.500 0.000
```

Computed properties:
The value obtained for the density of states at the Fermi level is 1.88 states/eV/atom.

***

Model two:
VASP calculation (PBE) on a geometry-optimized NaPSeBr2 structure.

Cell and atoms, written as CIF:
```
data_NaPSeBr2
_symmetry_space_group_name_H-M 'P 4/m m m'
_symmetry_Int_Tables_number 123
_symmetry_space_group_name_Hall '-P 4 2'
_cell_length_a 5.405
_cell_length_b 5.405
_cell_length_c 4.737
_cell_angle_alpha 90.00
_cell_angle_beta 90.00
_cell_angle_gamma 90.00
loop_
_atom_site_label
_atom_site_type_symbol
_atom_site_fract_x
_atom_site_fract_y
_atom_site_fract_z
Na1 Na 0.000 0.000 0.000
P1 P 0.500 0.500 0.500
Se1 Se 0.500 0.500 0.000
Br1 Br 0.000 0.500 0.500
```

Computed properties:
The value obtained for the density of states at the Fermi level is 0.25 states/eV/atom.

***

It turns out model two is the most stable, with the second structure 98.4 kJ/mol of atoms higher.

***

Model one:
VASP calculation (PBE) on a geometry-optimized NaRu2PbBr structure.

Cell and atoms, written as CIF:
```
data_NaRu2PbBr
_symmetry_space_group_name_H-M 'P 4/m m m'
_symmetry_Int_Tables_number 123
_symmetry_space_group_name_Hall '-P 4 2'
_cell_length_a 5.126
_cell_length_b 5.126
_cell_length_c 6.052
_cell_angle_alpha 90.00
_cell_angle_beta 90.00
_cell_angle_gamma 90.00
loop_
_atom_site_label
_atom_site_type_symbol
_atom_site_fract_x
_atom_site_fract_y
_atom_site_fract_z
Na1 Na 0.000 0.000 0.000
Ru1 Ru 0.000 0.500 0.500
Pb1 Pb 0.500 0.500 0.500
Br1 Br 0.500 0.500 0.000
```

Computed properties:
The value obtained for the density of states at the Fermi level is 0.91 states/eV/atom.

***

Model two:
VASP calculation (PBE) on a geometry-optimized NaRu2PbBr structure.

Cell and atoms, written as CIF:
```
data_NaRu2PbBr
_symmetry_space_group_name_H-M 'P 4/m m m'
_symmetry_Int_Tables_number 123
_symmetry_space_group_name_Hall '-P 4 2'
_cell_length_a 4.656
_cell_length_b 4.656
_cell_length_c 5.701
_cell_angle_alpha 90.00
_cell_angle_beta 90.00
_cell_angle_gamma 90.00
loop_
_atom_site_label
_atom_site_type_symbol
_atom_site_fract_x
_atom_site_fract_y
_atom_site_fract_z
Na1 Na 0.000 0.000 0.000
Ru1 Ru 0.000 0.500 0.500
Pb1 Pb 0.500 0.500 0.000
Br1 Br 0.500 0.500 0.500
```

Computed properties:
The value obtained for the density of states at the Fermi level is 0.79 states/eV/atom.

***

It turns out model two is the most stable, with the second structure 5.6 kJ/mol of atoms higher.

***

Model one:
VASP calculation (PBE) on a geometry-optimized Na2YPbBr structure.

Cell and atoms, written as CIF:
```
data_Na2YPbBr
_symmetry_space_group_name_H-M 'P 4/m m m'
_symmetry_Int_Tables_number 123
_symmetry_space_group_name_Hall '-P 4 2'
_cell_length_a 5.803
_cell_length_b 5.803
_cell_length_c 5.989
_cell_angle_alpha 90.00
_cell_angle_beta 90.00
_cell_angle_gamma 90.00
loop_
_atom_site_label
_atom_site_type_symbol
_atom_site_fract_x
_atom_site_fract_y
_atom_site_fract_z
Na1 Na 0.000 0.500 0.000
Y1 Y 0.000 0.000 0.500
Pb1 Pb 0.500 0.500 0.000
Br1 Br 0.500 0.500 0.500
```

Computed properties:
The value obtained for the density of states at the Fermi level is 0.93 states/eV/atom.

***

Model two:
VASP calculation (PBE) on a geometry-optimized Na2YPbBr structure.

Cell and atoms, written as CIF:
```
data_Na2YPbBr
_symmetry_space_group_name_H-M 'P 4/m m m'
_symmetry_Int_Tables_number 123
_symmetry_space_group_name_Hall '-P 4 2'
_cell_length_a 6.502
_cell_length_b 6.502
_cell_length_c 5.271
_cell_angle_alpha 90.00
_cell_angle_beta 90.00
_cell_angle_gamma 90.00
loop_
_atom_site_label
_atom_site_type_symbol
_atom_site_fract_x
_atom_site_fract_y
_atom_site_fract_z
Na1 Na 0.000 0.500 0.000
Y1 Y 0.000 0.000 0.000
Pb1 Pb 0.500 0.500 0.500
Br1 Br 0.000 0.000 0.500
```

Computed properties:
The value obtained for the density of states at the Fermi level is 0.59 states/eV/atom.

***

It turns out model two is the most stable, with the second structure 8.4 kJ/mol of atoms higher.

***

Model one:
VASP calculation (PBE) on a geometry-optimized NaPdBr structure.

Cell and atoms, written as CIF:
```
data_NaPdBr
_symmetry_space_group_name_H-M 'P 1'
_symmetry_Int_Tables_number 1
_symmetry_space_group_name_Hall 'P 1'
_cell_length_a 4.763
_cell_length_b 5.704
_cell_length_c 5.819
_cell_angle_alpha 84.10
_cell_angle_beta 65.99
_cell_angle_gamma 75.29
loop_
_atom_site_label
_atom_site_type_symbol
_atom_site_fract_x
_atom_site_fract_y
_atom_site_fract_z
Na1 Na 0.000 0.000 0.000
Na2 Na 0.316 0.499 0.375
Pd1 Pd 0.603 0.495 0.793
Pd2 Pd 0.705 0.996 0.582
Br1 Br 0.024 0.501 0.948
Br2 Br 0.280 0.001 0.428
```

Computed properties:
The value obtained for the density of states at the Fermi level is 0.00 states/eV/atom.

***

Model two:
VASP calculation (PBE) on a geometry-optimized NaPdBr structure.

Cell and atoms, written as CIF:
```
data_NaPdBr
_symmetry_space_group_name_H-M 'P 4/n m m'
_symmetry_Int_Tables_number 129
_cell_length_a 5.272
_cell_length_b 5.272
_cell_length_c 5.642
_cell_angle_alpha 90.00
_cell_angle_beta 90.00
_cell_angle_gamma 90.00
loop_
_symmetry_equiv_pos_as_xyz
'x,y,z'
'-x,-y,-z'
'-y+1/2,x,z'
'y+1/2,-x,-z'
'-x+1/2,-y+1/2,z'
'x+1/2,y+1/2,-z'
'y,-x+1/2,z'
'-y,x+1/2,-z'
'x+1/2,-y,-z'
'-x+1/2,y,z'
'-y,-x,-z'
'y,x,z'
'-x,y+1/2,-z'
'x,-y+1/2,z'
'y+1/2,x+1/2,-z'
'-y+1/2,-x+1/2,z'
loop_
_atom_site_label
_atom_site_type_symbol
_atom_site_fract_x
_atom_site_fract_y
_atom_site_fract_z
Na1 Na 0.250 0.250 0.157
Pd1 Pd 0.250 0.250 0.651
Br1 Br 0.250 0.750 0.500
```

Computed properties:
The value obtained for the density of states at the Fermi level is 0.68 states/eV/atom.

***

Model three:
VASP calculation (PBE) on a geometry-optimized NaPdBr structure.

Cell and atoms, written as CIF:
```
data_NaPdBr
_symmetry_space_group_name_H-M 'P 63/m m c'
_symmetry_Int_Tables_number 194
_symmetry_space_group_name_Hall '-P 6c 2c'
_cell_length_a 4.4684
_cell_length_b 4.4684
_cell_length_c 8.0270
_cell_angle_alpha 90.00
_cell_angle_beta 90.00
_cell_angle_gamma 120.00
loop_
_atom_site_label
_atom_site_type_symbol
_atom_site_fract_x
_atom_site_fract_y
_atom_site_fract_z
Na1 Na 0.0000 0.0000 0.0000
Pd1 Pd 0.3333 0.6667 0.2500
Br1 Br 0.3333 0.6667 0.7500
```

Computed properties:
The value obtained for the density of states at the Fermi level is 0.18 states/eV/atom.

***

Model four:
VASP calculation (PBE) on a geometry-optimized NaPdBr structure.

Cell and atoms, written as CIF:
```
data_NaPdBr
_symmetry_space_group_name_H-M 'P 1 m 1'
_symmetry_Int_Tables_number 6
_symmetry_space_group_name_Hall 'P -2y'
_cell_length_a 3.565
_cell_length_b 3.559
_cell_length_c 10.678
_cell_angle_alpha 90.00
_cell_angle_beta 99.60
_cell_angle_gamma 90.00
loop_
_atom_site_label
_atom_site_type_symbol
_atom_site_fract_x
_atom_site_fract_y
_atom_site_fract_z
Na1 Na 0.000 0.000 0.000
Na2 Na 0.169 0.000 0.348
Pd1 Pd 0.315 0.000 0.638
Pd2 Pd 0.773 0.500 0.552
Br1 Br 0.420 0.500 0.838
Br2 Br 0.588 0.500 0.185
```

Computed properties:
The value obtained for the density of states at the Fermi level is 0.03 states/eV/atom.

***

It turns out model four is the most stable, with the second structure 7.9 kJ/mol of atoms higher.